--- 1 ---
Zr2BCl: optimized geometry, PBE.

Unit cell a=6.745 b=6.745 c=6.745 alpha=130.99 beta=130.99 gamma=71.82
Fractional positions:
Zr (0.069, 0.625, 0.944)
Zr (0.375, 0.319, 0.444)
Zr (0.681, 0.125, 0.056)
Zr (0.875, 0.931, 0.556)
B (0.000, 0.000, 0.000)
B (0.750, 0.250, 0.500)
Cl (0.250, 0.750, 0.500)
Cl (0.500, 0.500, 0.000)

Computed properties:
D(E_F) = 3.9 states/eV/cell

---

--- 2 ---
Zr2BCl: optimized geometry, PBE.

Unit cell a=4.479 b=4.479 c=4.479 alpha=60.00 beta=60.00 gamma=60.00
Fractional positions:
Zr (0.250, 0.250, 0.250)
Zr (0.750, 0.750, 0.750)
B (0.000, 0.000, 0.000)
Cl (0.500, 0.500, 0.500)

Computed properties:
D(E_F) = 4.5 states/eV/cell

---

Name the most stable of them. 1.

---

--- 1 ---
ZrB3Cl: optimized geometry, PBE.

Unit cell a=4.721 b=4.721 c=4.721 alpha=90.00 beta=90.00 gamma=90.00
Fractional positions:
Zr (0.000, 0.000, 0.000)
B (0.000, 0.000, 0.500)
B (0.000, 0.500, 0.000)
B (0.500, 0.000, 0.000)
Cl (0.500, 0.500, 0.500)

Computed properties:
D(E_F) = 6.3 states/eV/cell

---

--- 2 ---
ZrB3Cl: optimized geometry, PBE.

Unit cell a=3.950 b=3.950 c=3.950 alpha=90.00 beta=90.00 gamma=90.00
Fractional positions:
Zr (0.000, 0.000, 0.000)
B (0.000, 0.500, 0.500)
B (0.500, 0.000, 0.500)
B (0.500, 0.500, 0.000)
Cl (0.500, 0.500, 0.500)

Computed properties:
D(E_F) = 3.4 states/eV/cell

---

Name the most stable of them. 2.